No. 1
Entry from Alexandria via LeMat-Bulk: crystalline BaV2AgMo at its relaxed geometry (PBE).

Cell: 5.1194 5.1194 5.2414 Å, 90.00 90.00 90.00°
With the nearest neighbours (Å) after each atom.
Space group P4/mmm (No. 123)
One atom of each set of equivalent atoms:
Ba (0.0000, 0.0000, 0.0000)  4 Mo 3.62, 8 V 3.66
V (0.0000, 0.5000, 0.5000)  2 Ag 2.56
Ag (0.5000, 0.5000, 0.5000)  4 V 2.56, 2 Mo 2.62
Mo (0.5000, 0.5000, 0.0000)  2 Ag 2.62

## Properties
Energy relative to the elements (eV/atom): 1.608

***

No. 2
Entry from Alexandria via LeMat-Bulk: crystalline Na5Cd12In2 at its relaxed geometry (PBE).

Cell: 16.0030 7.9229 7.6090 Å, 90.00 90.71 90.00°
With the nearest neighbours (Å) after each atom.
Space group C2/m (No. 12)
One atom of each set of equivalent atoms:
Na (0.0000, 0.0000, 0.0000)  10 Cd 3.32-3.54
Na (0.1977, 0.5000, 0.5138)  8 Cd 3.20-3.48, 1 Na 3.47, 2 In 3.54
Na (0.2430, 0.0000, 0.9237)  10 Cd 3.16-3.32, 1 Na 3.47
Cd (0.0546, 0.5000, 0.1662)  7 Cd 3.00-3.21, 2 In 3.13, 1 Na 3.32
Cd (0.1082, 0.0000, 0.5964)  2 In 3.03, 4 Cd 3.04-3.15, 2 Na 3.23-3.27
Cd (0.1206, 0.3030, 0.8410)  5 Cd 3.04-3.23, 4 Na 3.16-3.32, 1 In 3.21
Cd (0.1521, 0.1853, 0.2427)  4 Cd 2.94-3.23, 2 Na 3.20-3.27, 1 In 3.27
In (0.0000, 0.3004, 0.5000)  8 Cd 3.03-3.27, 1 In 3.16

## Properties
Energy relative to the elements (eV/atom): -0.052

***

No. 3
Entry from Alexandria via LeMat-Bulk: crystalline Hg3W at its relaxed geometry (PBE).

Cell: 2.9195 2.9195 9.8453 Å, 90.00 90.00 90.00°
With the nearest neighbours (Å) after each atom.
Space group P4/mmm (No. 123)
One atom of each set of equivalent atoms:
Hg (0.0000, 0.0000, 0.0000)  4 Hg 2.92
Hg (0.5000, 0.5000, 0.2785)  4 Hg 2.92, 4 W 3.00
W (0.0000, 0.0000, 0.5000)  4 W 2.92, 8 Hg 3.00

## Properties
Energy above the lowest structure with this stoichiometry (meV per atom): 202
Energy relative to the elements (eV/atom): 0.654

***

No. 4
Entry from Alexandria via LeMat-Bulk: crystalline Zn2SO at its relaxed geometry (PBE).

Cell: 5.0325 5.0325 10.0195 Å, 90.00 90.00 90.00°
With the nearest neighbours (Å) after each atom.
Space group I-42d (No. 122)
One atom of each set of equivalent atoms:
Zn (0.1975, 0.2500, 0.1250)  2 O 2.03
S (0.0000, 0.0000, 0.5000)  4 Zn 2.34
O (0.0000, 0.0000, 0.0000)  4 Zn 2.03

## Properties
Energy above the lowest structure with this stoichiometry (meV per atom): 0
E_form (uncorrected) (kJ/mol of formula units): -410.0

***

No. 5
Entry from Alexandria via LeMat-Bulk: crystalline NaAc4 at its relaxed geometry (PBE).

Cell: 6.1698 6.1698 6.1698 Å, 90.00 90.00 90.00°
With the nearest neighbours (Å) after each atom.
Space group Pm-3m (No. 221)
One atom of each set of equivalent atoms:
Na (0.0000, 0.0000, 0.0000)  6 Ac 3.08
Ac (0.0000, 0.0000, 0.5000)  2 Na 3.08
Ac (0.5000, 0.5000, 0.5000)  12 Ac 4.36

## Properties
Energy relative to the elements (eV/atom): 0.545

***

Raw total energy in eV/atom, matching the order above: -5.16; -1.27; -2.81; -3.97; -3.01
Total moment in μB per atom, matching the order above: 2.022; 0.000; 0.000; 0.000; 0.000